Compound: LiCdNiF6
Source: Alexandria
Functional: PBE with a Hubbard U
Structure: optimized geometry

Geometry as POSCAR:
```
LiCdNiF6
1.0
5.158 0.000 0.000
-2.579 4.467 0.000
0.000 0.000 9.611
Li Cd Ni F
2 2 2 12
Cartesian
0.000 2.978 2.403
2.579 1.489 7.208
0.000 0.000 0.000
0.000 0.000 4.805
2.579 1.489 2.403
0.000 2.978 7.208
1.729 2.833 1.335
4.168 1.553 1.335
-0.739 4.386 6.141
-1.589 2.914 8.275
0.990 1.553 3.470
3.429 2.833 3.470
0.739 4.386 8.275
3.318 0.081 3.470
-0.850 1.634 6.141
1.840 0.081 1.335
1.589 2.914 6.141
0.850 1.634 8.275
```

Results
Electronic total energy (eV/cell): -72.367
Spin magnetization (μB/f.u.): 2.904